## Fe2CoIF (PBE+U)

Data for a geometry-optimized Fe2CoIF structure.

Structure (CIF):
```
data_Fe2CoIF
_chemical_formula_sum 'Fe2 Co1 I1 F1'
_space_group_name_H-M_alt 'P 4/m m m'
_space_group_IT_number 123
_space_group_name_Hall '-P 4 2'
_cell_length_a 5.2385
_cell_length_b 5.2385
_cell_length_c 4.6476
_cell_angle_alpha 90.00
_cell_angle_beta 90.00
_cell_angle_gamma 90.00
loop_
_atom_site_label
_atom_site_fract_x
_atom_site_fract_y
_atom_site_fract_z
Fe1 0.0000 0.5000 0.0000
Co1 0.0000 0.0000 0.5000
I1 0.0000 0.0000 0.0000
F1 0.5000 0.5000 0.5000
```

DOS(E_F) ... 8.2 states/eV/f.u.
Total magnetization ... 7.1 Bohr magnetons per cell
E_tot ... -2.7719 eV/atom